First-principles (PBE) data for crystalline LiZnAu2 at its relaxed geometry, as listed in Alexandria via LeMat-Bulk.

* SG: I-4m2
* total DFT energy (no corrections): -2.84 eV per atom
* total moment: 0.00 μB per atom

Cell and atoms, written as POSCAR:
```
LiZnAu2
1.0
3.863 0.000 0.000
0.000 3.863 0.000
0.000 0.000 8.528
Li Zn Au
2 2 4
Direct
0.000 0.000 0.000
0.500 0.500 0.500
0.000 0.500 0.250
0.500 0.000 0.750
0.000 0.000 0.500
0.000 0.500 0.750
0.500 0.000 0.250
0.500 0.500 0.000
```